Entry 1:
Computed, not measured: a geometry-optimized CsBaCr2Ga structure at the PBE level of DFT.

a b c (Å): 6.123 6.123 7.149
angles (deg): 90.00 90.00 90.00
Atoms (fractional coordinates):
Cs 0.000 0.000 0.000
Ba 0.000 0.000 0.500
Cr 0.000 0.500 0.500
Cr 0.500 0.000 0.500
Ga 0.500 0.500 0.000

Properties
- formation enthalpy at 0 K (eV/atom) = 1.683
- M_tot (μB/f.u.) = 10.303
- E_tot (eV/atom) = -3.33

Entry 2:
Computed, not measured: a geometry-optimized Ba3PrAg2O6 structure at the PBE level of DFT.

a b c (Å): 6.457 6.457 6.918
angles (deg): 90.00 90.00 120.00
Atoms (fractional coordinates):
Ba 0.000 0.000 0.000
Ba 0.333 0.667 0.606
Ba 0.667 0.333 0.394
Pr 0.000 0.000 0.500
Ag 0.333 0.667 0.130
Ag 0.667 0.333 0.870
O 0.167 0.334 0.300
O 0.167 0.833 0.300
O 0.334 0.167 0.700
O 0.666 0.833 0.300
O 0.833 0.167 0.700
O 0.833 0.666 0.700

Properties
- M_tot (μB/f.u.) = 0.813
- energy relative to the elements, uncorrected (eV per formula unit) = -20.86
- E_tot (eV/atom) = -5.57

Entry 3:
Computed, not measured: a geometry-optimized Th3TlTe6 structure at the PBE level of DFT.

a b c (Å): 13.425 4.489 13.840
angles (deg): 90.00 108.03 90.00
Atoms (fractional coordinates):
Th 0.021 0.250 0.127
Th 0.226 0.250 0.774
Th 0.343 0.750 0.454
Th 0.657 0.250 0.546
Th 0.774 0.750 0.226
Th 0.979 0.750 0.873
Tl 0.397 0.750 0.112
Tl 0.603 0.250 0.888
Te 0.062 0.750 0.684
Te 0.156 0.250 0.972
Te 0.178 0.750 0.239
Te 0.245 0.250 0.551
Te 0.393 0.750 0.862
Te 0.450 0.250 0.360
Te 0.550 0.750 0.640
Te 0.607 0.250 0.138
Te 0.755 0.750 0.449
Te 0.822 0.250 0.761
Te 0.844 0.750 0.028
Te 0.938 0.250 0.316

Properties
- M_tot (μB/f.u.) = 0.670
- energy relative to the elements, uncorrected (eV per formula unit) = -10.02
- E_tot (eV/atom) = -5.35

Entry 4:
Computed, not measured: a geometry-optimized RbSc2W structure at the PBE level of DFT.

a b c (Å): 7.839 7.839 7.839
angles (deg): 60.00 60.00 60.00
Atoms (fractional coordinates):
Rb 0.125 0.125 0.125
Rb 0.875 0.875 0.875
Sc 0.000 0.500 0.500
Sc 0.500 0.000 0.500
Sc 0.500 0.500 0.000
Sc 0.500 0.500 0.500
W 0.375 0.375 0.375
W 0.625 0.625 0.625

Properties
- formation enthalpy at 0 K (eV/atom) = 1.316
- M_tot (μB/f.u.) = 0.000
- E_tot (eV/atom) = -5.33

Entry 5:
Computed, not measured: a geometry-optimized AcLaHo2Tl4 structure at the PBE level of DFT.

a b c (Å): 9.637 9.637 9.637
angles (deg): 33.50 33.50 33.50
Atoms (fractional coordinates):
Ac 0.000 0.000 0.000
La 0.500 0.500 0.500
Ho 0.249 0.249 0.249
Ho 0.751 0.751 0.751
Tl 0.126 0.126 0.126
Tl 0.377 0.377 0.377
Tl 0.623 0.623 0.623
Tl 0.874 0.874 0.874

Properties
- formation enthalpy at 0 K (eV/atom) = -0.340
- M_tot (μB/f.u.) = 0.000
- E_tot (eV/atom) = -3.80

Entry 6:
Computed, not measured: a geometry-optimized Lu2SnOs structure at the PBE level of DFT.

a b c (Å): 6.999 6.999 6.999
angles (deg): 90.00 90.00 90.00
Atoms (fractional coordinates):
Lu 0.250 0.250 0.250
Lu 0.250 0.250 0.750
Lu 0.250 0.750 0.250
Lu 0.250 0.750 0.750
Lu 0.750 0.250 0.250
Lu 0.750 0.250 0.750
Lu 0.750 0.750 0.250
Lu 0.750 0.750 0.750
Sn 0.000 0.000 0.000
Sn 0.000 0.500 0.500
Sn 0.500 0.000 0.500
Sn 0.500 0.500 0.000
Os 0.000 0.000 0.500
Os 0.000 0.500 0.000
Os 0.500 0.000 0.000
Os 0.500 0.500 0.500

Properties
- formation enthalpy at 0 K (eV/atom) = -0.334
- M_tot (μB/f.u.) = 0.004
- E_tot (eV/atom) = -6.40